(1)
{
  "formula": "Pa2As4Pd",
  "functional": "PBE",
  "state": "relaxed",
  "cell": [[4.041, 0.000, 0.000], [0.000, 4.041, 0.000], [0.000, 0.000, 9.138]],
  "species": ["Pa", "Pa", "As", "As", "As", "As", "Pd"],
  "frac_coords": [[0.000, 0.500, 0.245], [0.500, 0.000, 0.755], [0.000, 0.000, 0.000], [0.000, 0.500, 0.671], [0.500, 0.000, 0.329], [0.500, 0.500, 0.000], [0.000, 0.000, 0.500]],
  "sg": "P-4m2"
}

=====

(2)
{
  "formula": "PaAsPdPt",
  "functional": "PBE",
  "state": "relaxed",
  "cell": [[0.000, 3.372, 3.372], [3.372, 0.000, 3.372], [3.372, 3.372, 0.000]],
  "species": ["Pa", "As", "Pd", "Pt"],
  "frac_coords": [[0.000, 0.000, 0.000], [0.750, 0.750, 0.750], [0.500, 0.500, 0.500], [0.250, 0.250, 0.250]],
  "sg": "F-43m"
}

=====

(3)
{
  "formula": "PaAs2PdRh2",
  "functional": "PBE",
  "state": "relaxed",
  "cell": [[3.989, 0.000, 0.000], [0.000, 6.208, 0.000], [0.000, 0.000, 8.707]],
  "species": ["Pa", "Pa", "As", "As", "As", "As", "Pd", "Pd", "Rh", "Rh", "Rh", "Rh"],
  "frac_coords": [[0.000, 0.088, 0.000], [0.000, 0.912, 0.500], [0.000, 0.351, 0.411], [0.000, 0.649, 0.911], [0.500, 0.156, 0.700], [0.500, 0.844, 0.200], [0.500, 0.237, 0.255], [0.500, 0.763, 0.755], [0.000, 0.405, 0.688], [0.000, 0.595, 0.188], [0.500, 0.379, 0.951], [0.500, 0.621, 0.451]],
  "sg": "Pmc2_1"
}

=====

(4)
{
  "formula": "Pa3As4Pd2Ru2",
  "functional": "PBE",
  "state": "relaxed",
  "cell": [[4.253, 0.000, 0.000], [-2.127, 3.683, 0.000], [0.000, 0.000, 13.853]],
  "species": ["Pa", "Pa", "Pa", "As", "As", "As", "As", "Pd", "Pd", "Ru", "Ru"],
  "frac_coords": [[0.000, 0.000, 0.000], [0.000, 0.000, 0.266], [0.000, 0.000, 0.734], [0.333, 0.667, 0.379], [0.333, 0.667, 0.875], [0.667, 0.333, 0.125], [0.667, 0.333, 0.621], [0.333, 0.667, 0.564], [0.667, 0.333, 0.436], [0.333, 0.667, 0.154], [0.667, 0.333, 0.846]],
  "sg": "P-3m1"
}

=====

Energy of formation from the pure elements: -0.866 -0.670 -0.622 -0.761 (eV per atom)